Arrangement one

SrLiAg2 | GGA-PBE | relaxed

Results
For the density, the calculation gives 5.054 g/cm3. As for the magnetization: 0.000 μB/atom.

a b c (Å): 3.8719 4.6802 5.6273
angles (deg): 90.00 91.35 90.00
Last column: nearest neighbours and their distance in Å.
Space group Pm (No. 6)
One atom of each set of equivalent atoms:
1 Sr 0.0000 0.0000 0.0000 [1 per cell]  8 Ag 3.23-3.47, 2 Li 3.50
2 Li 0.0247 0.5000 0.5377 [1 per cell]  4 Ag 2.70-3.01
3 Ag 0.5075 0.5000 0.1983 [1 per cell]  2 Li 2.70-2.73, 2 Ag 2.89
4 Ag 0.5081 0.0000 0.4999 [1 per cell]  2 Ag 2.89, 4 Li 3.01-3.08

Arrangement two

SrLiAg2 | GGA-PBE | relaxed

Results
For the density, the calculation gives 5.080 g/cm3. As for the magnetization: 0.000 μB/atom.

a b c (Å): 4.6365 4.6365 16.3441
angles (deg): 90.00 90.00 120.00
Last column: nearest neighbours and their distance in Å.
Space group R-3m (No. 166, hexagonal axes)
One atom of each set of equivalent atoms:
1 Sr 0.0000 0.0000 0.0000 [3 per cell]  8 Ag 3.33-3.41
2 Li 0.0000 0.0000 0.5000 [3 per cell]  6 Ag 2.74
3 Ag 0.0000 0.0000 0.2038 [6 per cell]  3 Li 2.74, 3 Ag 2.94

Decreasing stability: arrangement two, arrangement one

Arrangement one

SrLiAg2 | GGA-PBE | relaxed

Results
For the density, the calculation gives 5.158 g/cm3. As for the magnetization: 0.000 μB/atom.

a b c (Å): 7.3656 7.3656 7.3656
angles (deg): 90.00 90.00 90.00
Last column: nearest neighbours and their distance in Å.
Space group Fm-3m (No. 225)
One atom of each set of equivalent atoms:
1 Sr 0.0000 0.0000 0.0000 [4 per cell]  8 Ag 3.19
2 Li 0.0000 0.0000 0.5000 [4 per cell]  8 Ag 3.19
3 Ag 0.2500 0.2500 0.2500 [8 per cell]  4 Li 3.19, 4 Sr 3.19

Arrangement two

SrLiAg2 | GGA-PBE | relaxed

Results
For the density, the calculation gives 5.114 g/cm3. As for the magnetization: 0.000 μB/atom.

a b c (Å): 4.6600 4.6600 10.7146
angles (deg): 90.00 90.00 120.00
Last column: nearest neighbours and their distance in Å.
Space group P6_3/mmc (No. 194)
One atom of each set of equivalent atoms:
1 Sr 0.3333 0.6667 0.2500 [2 per cell]  8 Ag 3.29-3.39
2 Li 0.0000 0.0000 0.0000 [2 per cell]  6 Ag 2.76
3 Ag 0.3333 0.6667 0.5569 [4 per cell]  3 Li 2.76, 3 Ag 2.95

Decreasing stability: arrangement two, arrangement one

Arrangement one

SrLiAg2 | GGA-PBE | relaxed

Results
For the density, the calculation gives 4.336 g/cm3. As for the magnetization: 0.000 μB/atom.

a b c (Å): 5.2221 5.2221 17.4286
angles (deg): 90.00 90.00 90.00
Last column: nearest neighbours and their distance in Å.
Space group I-42d (No. 122)
One atom of each set of equivalent atoms:
1 Sr 0.0000 0.0000 0.0000 [4 per cell]  4 Ag 3.44, 4 Li 3.69
2 Li 0.0000 0.0000 0.5000 [4 per cell]  4 Ag 2.56
3 Ag 0.0562 0.2500 0.6250 [8 per cell]  2 Li 2.56, 2 Ag 2.68

Arrangement two

SrLiAg2 | GGA-PBE | relaxed

Results
For the density, the calculation gives 5.065 g/cm3. As for the magnetization: 0.000 μB/atom.

a b c (Å): 8.0108 4.6239 6.1255
angles (deg): 90.00 116.26 90.00
Last column: nearest neighbours and their distance in Å.
Space group Cm (No. 8)
One atom of each set of equivalent atoms:
1 Sr 0.0000 0.0000 0.0000 [2 per cell]  4 Li 3.21-3.52, 7 Ag 3.36-3.58
2 Li 0.1944 0.0000 0.5847 [2 per cell]  6 Ag 2.67-2.88
3 Ag 0.0222 0.5000 0.5675 [2 per cell]  3 Li 2.67, 3 Ag 2.84-2.85
4 Ag 0.2955 0.5000 0.3889 [2 per cell]  3 Ag 2.84-2.85, 3 Li 2.87-2.88

Decreasing stability: arrangement two, arrangement one